This record from Alexandria describes HgPt2Cl after structural relaxation. The functional is PBE-GGA.

Cell lengths 3.100, 3.100, 8.958 Å; angles 90.00, 90.00, 122.50 degrees
Element x y z (fractional)
Pt  0.000  0.000  0.490
Pt  0.000  0.000  0.010
Cl  0.500  0.500  0.250
Hg  0.500  0.500  0.750

Computed properties:
E_tot ... -3.24 eV/atom
Calculated density ... 14325 kg/m³
Relative energy among the computed polymorphs ... 0.204 eV per atom
DOS(E_F) ... 4.14 states/eV per cell
ΔE_f (raw) ... 0.31 eV per atom